PBE RbBe2Pt2O6, relaxed; raw formation energy = -1331 kJ/mol of formula units
1.0
7.5095 0.8284 -0.4162
4.5236 5.3921 -0.6774
-0.8808 -3.2963 5.4141
O Be Pt Rb
6 2 2 1
direct
0.5419 0.2445 0.0511 O
0.4581 0.7555 0.9489 O
0.1120 0.7202 0.9182 O
0.8334 0.1693 0.3999 O
0.8880 0.2798 0.0818 O
0.1666 0.8307 0.6001 O
0.8063 0.1353 0.1149 Be
0.1937 0.8647 0.8851 Be
0.8051 0.3044 0.7745 Pt
0.1949 0.6956 0.2255 Pt
0.5000 0.0000 0.5000 Rb

PBE Li4Mg4Hg, relaxed; DFT formation energy = -1.1 eV per formula unit
1.0
6.4969 0.6210 0.8731
3.6134 6.8850 1.4663
-0.6589 0.8923 4.3395
Mg Li Hg
4 4 1
direct
0.1065 0.5622 0.2183 Mg
0.8935 0.4378 0.7817 Mg
0.6800 0.3126 0.3429 Mg
0.3200 0.6874 0.6571 Mg
0.2199 0.1139 0.4429 Li
0.4564 0.2204 0.8904 Li
0.5436 0.7796 0.1096 Li
0.7801 0.8861 0.5571 Li
0.0000 0.0000 0.0000 Hg

PBE CdHg2P, relaxed; energy above the most stable polymorph in this dataset = 0.189 eV per atom; DFT formation energy = 1.1 eV per formula unit
1.0
-1.5240 -3.1886 2.3980
2.1829 -2.0861 -4.9878
3.8760 -1.6589 0.6616
Hg P Cd
2 1 1
direct
0.0000 0.0000 0.0000 Hg
0.5000 0.0000 0.5000 Hg
0.0000 0.5000 0.5000 P
0.5000 0.5000 0.0000 Cd

PBE PSeIO2, relaxed; energy above the most stable polymorph in this dataset = 0.167 eV per atom; raw formation energy = 91 kJ/mol of formula units
1.0
-3.6847 -1.1965 0.1099
0.9482 -2.6780 2.6364
-1.0436 3.5823 4.0142
Se O I P
1 2 1 1
direct
0.0000 0.0000 0.0000 Se
0.5000 0.0000 0.0000 O
0.0000 0.5000 0.0000 O
0.5000 0.5000 0.5000 I
0.0000 0.0000 0.5000 P

PBE K4ErTh3S8, relaxed; raw formation energy = -2653 kJ/mol of formula units
1.0
-0.6971 4.2797 6.9091
-7.6777 -4.0353 1.7250
6.5379 -4.7186 -1.2327
K S Er Th
4 8 1 3
direct
0.0000 0.0000 0.0000 K
0.0000 0.0000 0.5000 K
0.5000 0.0000 0.5000 K
0.5000 0.0000 0.0000 K
0.2560 0.2914 0.0237 S
0.2324 0.7086 0.9763 S
0.2609 0.2827 0.5217 S
0.7440 0.7086 0.9763 S
0.7676 0.2914 0.5352 S
0.7676 0.2914 0.0237 S
0.7391 0.7173 0.4783 S
0.2324 0.7086 0.4648 S
0.0000 0.5000 0.0000 Er
0.5000 0.5000 0.5000 Th
0.5000 0.5000 0.0000 Th
0.0000 0.5000 0.5000 Th

PBE SrCr2HgW, relaxed; DFT formation energy = 13.2 eV per formula unit
1.0
-1.9297 -1.6724 -4.7412
4.3435 -3.3158 -0.5982
-2.6778 -3.9562 2.4854
W Cr Hg Sr
1 2 1 1
direct
0.5000 0.5000 0.5000 W
0.5000 0.0000 0.0000 Cr
0.0000 0.0000 0.5000 Cr
0.0000 0.5000 0.0000 Hg
0.0000 0.0000 0.0000 Sr

PBE Rb3Sm2InO6, relaxed; raw formation energy = -2547 kJ/mol of formula units
1.0
6.1350 -0.0013 0.0012
-3.0671 5.3133 0.0012
-1.0218 -1.7693 6.5753
Rb O In Sm
3 6 1 2
direct
0.1641 0.8359 0.5000 Rb
0.5000 0.5000 0.5000 Rb
0.8359 0.1641 0.5000 Rb
0.3834 0.0598 0.1794 O
0.6166 0.9402 0.8206 O
0.2641 0.2641 0.8206 O
0.9402 0.6166 0.8206 O
0.7359 0.7359 0.1794 O
0.0598 0.3834 0.1794 O
0.0000 0.0000 0.0000 In
0.3333 0.6667 0.0000 Sm
0.6667 0.3333 0.0000 Sm

PBE In2AgSe3Cl, relaxed; raw formation energy = -369 kJ/mol of formula units
1.0
-0.1714 0.6691 8.0468
-7.1478 0.2398 3.7522
-2.3195 -6.3604 4.4039
Se In Cl Ag
6 4 2 2
direct
0.7586 0.7586 0.2150 Se
0.7586 0.2150 0.7586 Se
0.2150 0.7586 0.7586 Se
0.7850 0.2414 0.2414 Se
0.2414 0.2414 0.7850 Se
0.2414 0.7850 0.2414 Se
0.0000 0.0000 0.0000 In
0.0000 0.5000 0.0000 In
0.0000 0.0000 0.5000 In
0.5000 0.0000 0.0000 In
0.2481 0.2481 0.2481 Cl
0.7519 0.7519 0.7519 Cl
0.5920 0.5920 0.5920 Ag
0.4080 0.4080 0.4080 Ag

PBE RbTmTeO4, relaxed; raw formation energy = -1401 kJ/mol of formula units
1.0
5.8778 0.0000 -0.5999
0.0000 6.0933 0.0000
-2.9544 0.0000 7.9797
Tm O Te Rb
2 8 2 2
direct
0.1963 0.2500 0.5388 Tm
0.8037 0.7500 0.4612 Tm
0.5487 0.2500 0.4968 O
0.0093 0.9850 0.3442 O
0.4513 0.7500 0.5032 O
0.4801 0.7500 0.2025 O
0.9907 0.0150 0.6558 O
0.0093 0.5150 0.3442 O
0.5199 0.2500 0.7975 O
0.9907 0.4850 0.6558 O
0.1837 0.7500 0.2697 Te
0.8163 0.2500 0.7303 Te
0.5439 0.2500 0.1424 Rb
0.4561 0.7500 0.8576 Rb

PBE TbTiAs2, relaxed; energy above the most stable polymorph in this dataset = 0.000 eV per atom; DFT formation energy = -4.6 eV per formula unit
1.0
-1.0631 0.4967 3.7049
-2.2960 -2.6151 1.7300
4.0297 -3.9610 3.7256
Ti As Tb
1 2 1
direct
0.0000 0.0000 0.0000 Ti
0.2601 0.2601 0.2197 As
0.7399 0.7399 0.7803 As
0.5000 0.5000 0.5000 Tb

PBE Dy3Al2Hg4, relaxed; DFT formation energy = -3.9 eV per formula unit
1.0
-0.9503 -1.1802 -4.5122
5.3038 -2.0003 1.9167
-6.9925 -4.8751 2.7478
Dy Hg Al
3 4 2
direct
0.3369 0.6738 0.3263 Dy
0.0000 0.0000 0.0000 Dy
0.6631 0.3262 0.6737 Dy
0.6930 0.3859 0.0367 Hg
0.0860 0.1719 0.4116 Hg
0.9140 0.8281 0.5884 Hg
0.3070 0.6141 0.9633 Hg
0.6106 0.2212 0.2797 Al
0.3894 0.7788 0.7203 Al

PBE HgSbOs2, relaxed; energy above the most stable polymorph in this dataset = 0.349 eV per atom; raw formation energy = 328 kJ/mol of formula units
1.0
-3.9093 -2.2884 0.8298
-1.5412 -0.4353 4.3177
-3.7657 2.2860 1.3422
Os Sb Hg
2 1 1
direct
0.7500 0.7500 0.7500 Os
0.2500 0.2500 0.2500 Os
0.0000 0.0000 0.0000 Sb
0.5000 0.5000 0.5000 Hg

D(E_F) readings, ordered: 0.36, 0.31, 0.40, 0.42, 0.63, 0.77, 0.00, 0.20, 0.00, 0.61, 0.52, 0.61 states/eV per atom